## ZnCr3S6O24 (PBE with a Hubbard U)

Data for a relaxed structure of ZnCr3S6O24.

a = 8.8944 Å, b = 8.8944 Å, c = 8.8944 Å
α = 55.76°, β = 55.76°, γ = 55.76°
Positions (direct):
Zn  0.8520  0.8520  0.8520
Cr  0.6446  0.6446  0.6446
Cr  0.3550  0.3550  0.3550
Cr  0.1513  0.1513  0.1513
S  0.2563  0.5335  0.9597
S  0.0409  0.7486  0.4606
S  0.4606  0.0409  0.7486
S  0.5335  0.9597  0.2563
S  0.9597  0.2563  0.5335
S  0.7486  0.4606  0.0409
O  0.4818  0.8871  0.7093
O  0.7093  0.4818  0.8871
O  0.0538  0.6677  0.9900
O  0.2867  0.3418  0.9766
O  0.0299  0.7132  0.6486
O  0.3243  0.0192  0.9533
O  0.8871  0.7093  0.4818
O  0.3884  0.6156  0.7623
O  0.0192  0.9533  0.3243
O  0.3708  0.2365  0.6172
O  0.2365  0.6172  0.3708
O  0.6486  0.0299  0.7132
O  0.3418  0.9766  0.2867
O  0.7623  0.3884  0.6156
O  0.6156  0.7623  0.3884
O  0.9900  0.0538  0.6677
O  0.6172  0.3708  0.2365
O  0.1044  0.3151  0.5039
O  0.6677  0.9900  0.0538
O  0.9766  0.2867  0.3418
O  0.7132  0.6486  0.0299
O  0.9533  0.3243  0.0192
O  0.3151  0.5039  0.1044
O  0.5039  0.1044  0.3151

Values from the calculation:
* energy: -6.36 eV per atom
* space-group type: R3 (146)